This record from the Alexandria database describes a relaxed InSnTeO6 crystal. The functional is GGA-PBE.

Results
V: 12.978 Å³/atom
DFT total energy: -5.6257 eV/atom
Symmetry: P-31c, No. 163

Cell lengths 5.426, 5.426, 9.162 Å; angles 90.00, 90.00, 120.00 degrees
Sites, in units of the cell vectors:
1 In 0.333 0.667 0.250
2 In 0.667 0.333 0.750
3 Sn 0.000 0.000 0.000
4 Sn 0.000 0.000 0.500
5 Te 0.333 0.667 0.750
6 Te 0.667 0.333 0.250
7 O 0.023 0.348 0.628
8 O 0.023 0.675 0.872
9 O 0.325 0.348 0.872
10 O 0.325 0.977 0.628
11 O 0.348 0.023 0.128
12 O 0.348 0.325 0.372
13 O 0.652 0.675 0.628
14 O 0.652 0.977 0.872
15 O 0.675 0.023 0.372
16 O 0.675 0.652 0.128
17 O 0.977 0.325 0.128
18 O 0.977 0.652 0.372